[1]
# RbCuB2Pb (PBE, relaxed)
data_RbCuB2Pb
_chemical_formula_sum 'Rb1 Cu1 B2 Pb1'
_cell_length_a 4.374
_cell_length_b 4.374
_cell_length_c 5.428
_cell_angle_alpha 90.00
_cell_angle_beta 90.00
_cell_angle_gamma 90.00
_symmetry_space_group_name_H-M 'P 4/m m m'
_symmetry_Int_Tables_number 123
_symmetry_space_group_name_Hall '-P 4 2'
loop_
_atom_site_label
_atom_site_type_symbol
_atom_site_fract_x
_atom_site_fract_y
_atom_site_fract_z
Rb1 Rb 0.000 0.000 0.000
Cu1 Cu 0.500 0.500 0.500
B1 B 0.000 0.500 0.500
Pb1 Pb 0.500 0.500 0.000
# **Energy relative to the elements**: 32.02 kcal/mol of atoms
# **Fermi-level density of states**: 2.514 states/eV per cell


[2]
# OsRu2Au (PBE, relaxed)
data_OsRu2Au
_chemical_formula_sum 'Os1 Ru2 Au1'
_cell_length_a 3.920
_cell_length_b 3.920
_cell_length_c 3.874
_cell_angle_alpha 90.00
_cell_angle_beta 90.00
_cell_angle_gamma 90.00
_symmetry_space_group_name_H-M 'P 4/m m m'
_symmetry_Int_Tables_number 123
_symmetry_space_group_name_Hall '-P 4 2'
loop_
_atom_site_label
_atom_site_type_symbol
_atom_site_fract_x
_atom_site_fract_y
_atom_site_fract_z
Os1 Os 0.000 0.000 0.000
Ru1 Ru 0.000 0.500 0.500
Au1 Au 0.500 0.500 0.000
# **Energy relative to the elements**: 12.05 kcal/mol of atoms
# **Fermi-level density of states**: 6.397 states/eV per cell


[3]
# PrHfF7 (PBE, relaxed)
data_PrHfF7
_chemical_formula_sum 'Pr2 Hf2 F14'
_cell_length_a 6.289
_cell_length_b 5.923
_cell_length_c 8.509
_cell_angle_alpha 90.00
_cell_angle_beta 102.55
_cell_angle_gamma 90.00
_symmetry_space_group_name_H-M 'P 1 21 1'
_symmetry_Int_Tables_number 4
_symmetry_space_group_name_Hall 'P 2yb'
loop_
_atom_site_label
_atom_site_type_symbol
_atom_site_fract_x
_atom_site_fract_y
_atom_site_fract_z
Pr1 Pr 0.158 0.000 0.189
Hf1 Hf 0.312 0.009 0.724
F1 F 0.054 0.692 0.022
F2 F 0.075 0.777 0.710
F3 F 0.098 0.265 0.707
F4 F 0.267 0.002 0.484
F5 F 0.355 0.017 0.965
F6 F 0.450 0.275 0.255
F7 F 0.457 0.745 0.268
# **Fermi-level density of states**: 0.000 states/eV per cell
# **Uncorrected formation energy**: -383.5 kJ per mole of atoms


[4]
# Zr2CdCoPb (PBE, relaxed)
data_Zr2CdCoPb
_chemical_formula_sum 'Zr2 Cd1 Co1 Pb1'
_cell_length_a 4.802
_cell_length_b 4.802
_cell_length_c 4.959
_cell_angle_alpha 90.00
_cell_angle_beta 90.00
_cell_angle_gamma 90.00
_symmetry_space_group_name_H-M 'P 4/m m m'
_symmetry_Int_Tables_number 123
_symmetry_space_group_name_Hall '-P 4 2'
loop_
_atom_site_label
_atom_site_type_symbol
_atom_site_fract_x
_atom_site_fract_y
_atom_site_fract_z
Zr1 Zr 0.000 0.500 0.000
Cd1 Cd 0.000 0.000 0.500
Co1 Co 0.000 0.000 0.000
Pb1 Pb 0.500 0.500 0.500
# **Energy relative to the elements**: 2.05 kcal/mol of atoms
# **Fermi-level density of states**: 4.162 states/eV per cell


[5]
# Li2LuNb2O7 (PBE, relaxed)
data_Li2LuNb2O7
_chemical_formula_sum 'Li4 Lu2 Nb4 O14'
_cell_length_a 18.763
_cell_length_b 3.939
_cell_length_c 4.076
_cell_angle_alpha 90.00
_cell_angle_beta 102.50
_cell_angle_gamma 90.00
_symmetry_space_group_name_H-M 'C 1 m 1'
_symmetry_Int_Tables_number 8
_symmetry_space_group_name_Hall 'C -2y'
loop_
_atom_site_label
_atom_site_type_symbol
_atom_site_fract_x
_atom_site_fract_y
_atom_site_fract_z
Li1 Li 0.000 0.000 0.000
Li2 Li 0.029 0.500 0.530
Lu1 Lu 0.265 0.000 0.909
Nb1 Nb 0.150 0.500 0.172
Nb2 Nb 0.379 0.500 0.403
O1 O 0.047 0.500 0.041
O2 O 0.157 0.500 0.660
O3 O 0.178 0.000 0.201
O4 O 0.265 0.500 0.161
O5 O 0.351 0.000 0.376
O6 O 0.373 0.500 0.878
O7 O 0.482 0.500 0.477
# **Fermi-level density of states**: 3.372 states/eV per cell
# **Uncorrected formation energy**: -249.5 kJ per mole of atoms


[6]
# TlNiP (PBE, relaxed)
data_TlNiP
_chemical_formula_sum 'Tl1 Ni1 P1'
_cell_length_a 3.7724
_cell_length_b 3.7724
_cell_length_c 4.9430
_cell_angle_alpha 90.00
_cell_angle_beta 90.00
_cell_angle_gamma 120.00
_symmetry_space_group_name_H-M 'P -6 m 2'
_symmetry_Int_Tables_number 187
_symmetry_space_group_name_Hall 'P -6 2'
loop_
_atom_site_label
_atom_site_type_symbol
_atom_site_fract_x
_atom_site_fract_y
_atom_site_fract_z
Tl1 Tl 0.0000 0.0000 0.0000
Ni1 Ni 0.6667 0.3333 0.5000
P1 P 0.3333 0.6667 0.5000
# **Energy relative to the elements**: -0.10 kcal/mol of atoms
# **Fermi-level density of states**: 2.143 states/eV per cell


[7]
# KSiAu2 (PBE, relaxed)
data_KSiAu2
_chemical_formula_sum 'K1 Si1 Au2'
_cell_length_a 3.498
_cell_length_b 3.498
_cell_length_c 7.584
_cell_angle_alpha 90.00
_cell_angle_beta 90.00
_cell_angle_gamma 90.00
_symmetry_space_group_name_H-M 'P 4 m m'
_symmetry_Int_Tables_number 99
_symmetry_space_group_name_Hall 'P 4 -2'
loop_
_atom_site_label
_atom_site_type_symbol
_atom_site_fract_x
_atom_site_fract_y
_atom_site_fract_z
K1 K 0.000 0.000 0.000
Si1 Si 0.500 0.500 0.337
Au1 Au 0.000 0.000 0.463
Au2 Au 0.500 0.500 0.680
# **Fermi-level density of states**: 1.821 states/eV per cell
# **Uncorrected formation energy**: 5.8 kJ per mole of atoms


[8]
# DyTh2Au4 (PBE, relaxed)
data_DyTh2Au4
_chemical_formula_sum 'Dy2 Th4 Au8'
_cell_length_a 5.284
_cell_length_b 5.284
_cell_length_c 13.106
_cell_angle_alpha 90.00
_cell_angle_beta 90.00
_cell_angle_gamma 90.00
_symmetry_space_group_name_H-M 'I 4/m m m'
_symmetry_Int_Tables_number 139
_symmetry_space_group_name_Hall '-I 4 2'
loop_
_atom_site_label
_atom_site_type_symbol
_atom_site_fract_x
_atom_site_fract_y
_atom_site_fract_z
Dy1 Dy 0.000 0.000 0.000
Th1 Th 0.000 0.000 0.286
Au1 Au 0.000 0.500 0.112
# **Energy relative to the elements**: -13.00 kcal/mol of atoms
# **Fermi-level density of states**: 10.571 states/eV per cell


[9]
# Y5ZrSn4 (PBE, relaxed)
data_Y5ZrSn4
_chemical_formula_sum 'Y10 Zr2 Sn8'
_cell_length_a 18.869
_cell_length_b 3.958
_cell_length_c 8.659
_cell_angle_alpha 90.00
_cell_angle_beta 107.04
_cell_angle_gamma 90.00
_symmetry_space_group_name_H-M 'C 1 2/m 1'
_symmetry_Int_Tables_number 12
_symmetry_space_group_name_Hall '-C 2y'
loop_
_atom_site_label
_atom_site_type_symbol
_atom_site_fract_x
_atom_site_fract_y
_atom_site_fract_z
Y1 Y 0.000 0.000 0.000
Y2 Y 0.168 0.500 0.314
Y3 Y 0.171 0.500 0.873
Zr1 Zr 0.000 0.000 0.500
Sn1 Sn 0.001 0.500 0.742
Sn2 Sn 0.164 0.000 0.592
# **Energy relative to the elements**: -7.80 kcal/mol of atoms
# **Fermi-level density of states**: 12.665 states/eV per cell


[10]
# MnRe2Mo (PBE, relaxed)
data_MnRe2Mo
_chemical_formula_sum 'Mn4 Re8 Mo4'
_cell_length_a 6.170
_cell_length_b 6.170
_cell_length_c 6.170
_cell_angle_alpha 90.00
_cell_angle_beta 90.00
_cell_angle_gamma 90.00
_symmetry_space_group_name_H-M 'F m -3 m'
_symmetry_Int_Tables_number 225
_symmetry_space_group_name_Hall '-F 4 2 3'
loop_
_atom_site_label
_atom_site_type_symbol
_atom_site_fract_x
_atom_site_fract_y
_atom_site_fract_z
Mn1 Mn 0.000 0.000 0.000
Re1 Re 0.250 0.250 0.250
Mo1 Mo 0.000 0.000 0.500
# **Energy relative to the elements**: 2.40 kcal/mol of atoms
# **Fermi-level density of states**: 13.824 states/eV per cell


[11]
# NaMg2Si (PBE, relaxed)
data_NaMg2Si
_chemical_formula_sum 'Na4 Mg8 Si4'
_cell_length_a 4.490
_cell_length_b 4.490
_cell_length_c 19.269
_cell_angle_alpha 90.00
_cell_angle_beta 90.00
_cell_angle_gamma 90.00
_symmetry_space_group_name_H-M 'I -4 2 d'
_symmetry_Int_Tables_number 122
_symmetry_space_group_name_Hall 'I -4 2bw'
loop_
_atom_site_label
_atom_site_type_symbol
_atom_site_fract_x
_atom_site_fract_y
_atom_site_fract_z
Na1 Na 0.000 0.000 0.000
Mg1 Mg 0.218 0.250 0.625
Si1 Si 0.000 0.000 0.500
# **Fermi-level density of states**: 10.023 states/eV per cell
# **Uncorrected formation energy**: 34.9 kJ per mole of atoms


[12]
# BaZnIn2Hg (PBE, relaxed)
data_BaZnIn2Hg
_chemical_formula_sum 'Ba2 Zn2 In4 Hg2'
_cell_length_a 4.919
_cell_length_b 4.928
_cell_length_c 11.596
_cell_angle_alpha 90.00
_cell_angle_beta 90.00
_cell_angle_gamma 90.00
_symmetry_space_group_name_H-M 'I m m 2'
_symmetry_Int_Tables_number 44
_symmetry_space_group_name_Hall 'I 2 -2'
loop_
_atom_site_label
_atom_site_type_symbol
_atom_site_fract_x
_atom_site_fract_y
_atom_site_fract_z
Ba1 Ba 0.000 0.000 0.000
Zn1 Zn 0.000 0.000 0.622
In1 In 0.000 0.000 0.388
In2 In 0.000 0.500 0.241
Hg1 Hg 0.000 0.500 0.738
# **Energy relative to the elements**: -7.60 kcal/mol of atoms
# **Fermi-level density of states**: 5.336 states/eV per cell


> Which value of Fermi-level density of states does entry 2 give?

6.397 states/eV per cell


> Fermi-level density of states of number 2 (OsRu2Au)?

6.397 states/eV per cell


> What is the Fermi-level density of states in the second record?

6.397 states/eV per cell